1.
10
Lattice="4.141 0.000 0.000 0.000 4.141 0.000 0.000 0.000 10.242" Properties=species:S:1:pos:R:3 comment="Pm2ZnCu4Ge3 | Alexandria via LeMat-Bulk | PBE-GGA | optimized geometry" formation_enthalpy_0k_ev_per_atom=-0.49 density_g_cm3=7.8 pbc="T T T"
Pm 0.000 2.070 2.495
Pm 2.070 0.000 7.747
Zn 0.000 0.000 5.121
Cu 0.000 0.000 0.000
Cu 0.000 2.070 6.488
Cu 2.070 0.000 3.754
Cu 2.070 2.070 0.000
Ge 0.000 2.070 8.875
Ge 2.070 0.000 1.367
Ge 2.070 2.070 5.121

2.
14
Lattice="3.086 1.782 7.801 -3.086 1.782 7.801 0.000 -3.564 7.801" Properties=species:S:1:pos:R:3 comment="PrCu3Ge3 | Alexandria via LeMat-Bulk | PBE-GGA | optimized geometry" formation_enthalpy_0k_ev_per_atom=-0.15 density_g_cm3=7.1 pbc="T T T"
Pr 0.000 0.000 4.374
Pr 0.000 0.000 19.029
Cu -0.550 -1.401 7.176
Cu -0.938 1.176 7.176
Cu -1.488 -0.224 16.227
Cu 1.488 0.224 7.176
Cu 0.938 -1.176 16.227
Cu 0.550 1.401 16.227
Ge -0.434 -1.511 9.764
Ge -1.526 -0.380 13.639
Ge -1.092 1.131 9.764
Ge 1.092 -1.131 13.639
Ge 1.526 0.380 9.764
Ge 0.434 1.511 13.639

3.
9
Lattice="5.603 -2.121 0.000 5.603 2.121 0.000 -1.538 0.000 8.290" Properties=species:S:1:pos:R:3 comment="Pr3Cu2Ge4 | Alexandria via LeMat-Bulk | PBE-GGA | optimized geometry" formation_enthalpy_0k_ev_per_atom=-0.71 density_g_cm3=7.1 pbc="T T T"
Pr 0.000 0.000 0.000
Pr 3.283 0.000 2.757
Pr 6.385 0.000 5.533
Cu 3.266 0.000 5.934
Cu 6.402 0.000 2.356
Ge 0.102 0.000 3.204
Ge 1.763 0.000 7.773
Ge 7.905 0.000 0.516
Ge 9.566 0.000 5.085

4.
12
Lattice="2.546 1.470 7.882 -2.546 1.470 7.882 0.000 -2.940 7.882" Properties=species:S:1:pos:R:3 comment="PrCu9Ge2 | Alexandria via LeMat-Bulk | PBE-GGA | optimized geometry" formation_enthalpy_0k_ev_per_atom=-0.04 density_g_cm3=8.0 pbc="T T T"
Pr 0.000 0.000 0.000
Cu -1.301 -0.751 9.935
Cu 0.000 0.000 7.916
Cu 0.000 -1.502 13.710
Cu -1.301 0.751 13.710
Cu 0.000 0.000 11.822
Cu 1.301 -0.751 9.935
Cu 0.000 1.502 9.935
Cu 0.000 0.000 15.728
Cu 1.301 0.751 13.710
Ge 0.000 0.000 3.450
Ge 0.000 0.000 20.195

Calculated values (μB/cell) of total magnetization for the records, taken in order: 0.00; 0.00; 0.00; 0.00.